Entry w
# Sr2Er2O5

An optimized crystal structure of Sr2Er2O5 (PBE-GGA, OQMD).

Unit cell a=8.060 b=4.275 c=4.275 alpha=90.00 beta=90.00 gamma=90.00
Fractional coordinates of all 9 atoms:
Er (0.242, 0.500, 0.500)
Er (0.758, 0.500, 0.500)
O (0.197, 0.500, 0.000)
O (0.803, 0.500, 0.000)
O (0.197, 0.000, 0.500)
O (0.803, 0.000, 0.500)
O (0.500, 0.500, 0.500)
Sr (0.000, 0.000, 0.000)
Sr (0.500, 0.000, 0.000)

Entry x
# Sr2Er2O5

An optimized crystal structure of Sr2Er2O5 (PBE-GGA, OQMD).

Unit cell a=9.778 b=4.013 c=4.013 alpha=90.00 beta=90.00 gamma=90.00
Site moments in Bohr magnetons follow the coordinates.
Fractional coordinates of all 9 atoms:
Er (0.000, 0.000, 0.000)  -0.03
Er (0.500, 0.000, 0.000)  0.11
O (0.125, 0.500, 0.000)  0.17
O (0.875, 0.500, 0.000)  0.17
O (0.125, 0.000, 0.500)  0.29
O (0.875, 0.000, 0.500)  0.29
O (0.500, 0.500, 0.500)  0.02
Sr (0.235, 0.500, 0.500)  0.01
Sr (0.765, 0.500, 0.500)  0.01

The most stable of them is entry w.

Entry w
# Er2Ta2O5

An optimized crystal structure of Er2Ta2O5 (PBE-GGA, OQMD).

Unit cell a=9.824 b=3.457 c=3.457 alpha=90.00 beta=90.00 gamma=90.00
Fractional coordinates of all 9 atoms:
Er (0.266, 0.500, 0.500)
Er (0.734, 0.500, 0.500)
O (0.122, 0.500, 0.000)
O (0.878, 0.500, 0.000)
O (0.122, 0.000, 0.500)
O (0.878, 0.000, 0.500)
O (0.500, 0.500, 0.500)
Ta (0.000, 0.000, 0.000)
Ta (0.500, 0.000, 0.000)

Entry x
# Er2Ta2O5

An optimized crystal structure of Er2Ta2O5 (PBE-GGA, OQMD).

Unit cell a=7.097 b=3.978 c=3.978 alpha=90.00 beta=90.00 gamma=90.00
Fractional coordinates of all 9 atoms:
Er (0.000, 0.000, 0.000)
Er (0.500, 0.000, 0.000)
O (0.257, 0.500, 0.000)
O (0.743, 0.500, 0.000)
O (0.257, 0.000, 0.500)
O (0.743, 0.000, 0.500)
O (0.500, 0.500, 0.500)
Ta (0.196, 0.500, 0.500)
Ta (0.804, 0.500, 0.500)

The most stable of them is entry x.

Entry w
# ErTa2O4

An optimized crystal structure of ErTa2O4 (PBE-GGA, OQMD).

Unit cell a=5.052 b=5.052 c=3.497 alpha=90.00 beta=90.00 gamma=112.92
Fractional coordinates of all 7 atoms:
Er (0.500, 0.500, 0.000)
O (0.770, 0.230, 0.000)
O (0.230, 0.770, 0.000)
O (0.242, 0.242, 0.500)
O (0.758, 0.758, 0.500)
Ta (0.500, 0.000, 0.500)
Ta (0.000, 0.500, 0.500)

Entry x
# ErTa2O4

An optimized crystal structure of ErTa2O4 (PBE-GGA, OQMD).

Unit cell a=6.374 b=6.374 c=6.374 alpha=119.99 beta=90.02 gamma=119.99
Site moments in Bohr magnetons follow the coordinates.
Fractional coordinates of all 14 atoms:
Er (0.000, 0.000, 0.000)  0.02
Er (0.750, 0.500, 0.250)  0.02
O (0.149, 0.766, 0.383)  0.01
O (0.617, 0.234, 0.383)  0.01
O (0.617, 0.766, 0.383)  0.01
O (0.133, 0.266, 0.399)  0.01
O (0.617, 0.234, 0.851)  0.01
O (0.133, 0.734, 0.867)  0.01
O (0.133, 0.266, 0.867)  0.01
O (0.601, 0.734, 0.867)  0.01
Ta (0.375, 0.750, 0.125)  0.10
Ta (0.375, 0.250, 0.625)  0.19
Ta (0.375, 0.750, 0.625)  0.09
Ta (0.875, 0.250, 0.625)  0.19

The most stable of them is entry w.

Entry w
# Tb2Er2O5

An optimized crystal structure of Tb2Er2O5 (PBE-GGA, OQMD).

Unit cell a=9.350 b=3.896 c=3.896 alpha=90.00 beta=90.00 gamma=90.00
Site moments in Bohr magnetons follow the coordinates.
Fractional coordinates of all 9 atoms:
Er (0.000, 0.000, 0.000)  0.01
Er (0.500, 0.000, 0.000)  0.62
O (0.142, 0.500, 0.000)  0.01
O (0.858, 0.500, 0.000)  0.01
O (0.142, 0.000, 0.500)  0.02
O (0.858, 0.000, 0.500)  0.02
O (0.500, 0.500, 0.500)  0.03
Tb (0.243, 0.500, 0.500)  0.07
Tb (0.757, 0.500, 0.500)  0.07

Entry x
# Tb2Er2O5

An optimized crystal structure of Tb2Er2O5 (PBE-GGA, OQMD).

Unit cell a=7.552 b=4.280 c=4.280 alpha=90.00 beta=90.00 gamma=90.00
Site moments in Bohr magnetons follow the coordinates.
Fractional coordinates of all 9 atoms:
Er (0.227, 0.500, 0.500)  0.03
Er (0.773, 0.500, 0.500)  0.03
O (0.228, 0.500, 0.000)  0.00
O (0.772, 0.500, 0.000)  0.00
O (0.228, 0.000, 0.500)  0.00
O (0.772, 0.000, 0.500)  0.00
O (0.500, 0.500, 0.500)  0.00
Tb (0.000, 0.000, 0.000)  0.06
Tb (0.500, 0.000, 0.000)  0.01

The most stable of them is entry w.

Entry w
# TbErTeO2

An optimized crystal structure of TbErTeO2 (PBE-GGA, OQMD).

Unit cell a=6.788 b=6.788 c=6.788 alpha=146.58 beta=146.58 gamma=47.98
Fractional coordinates of all 5 atoms:
Er (0.664, 0.664, 0.000)
O (0.748, 0.248, 0.500)
O (0.248, 0.748, 0.500)
Tb (0.339, 0.339, 0.000)
Te (0.001, 0.001, 0.000)

Entry x
# TbErTeO2

An optimized crystal structure of TbErTeO2 (PBE-GGA, OQMD).

Unit cell a=3.885 b=3.885 c=7.136 alpha=90.00 beta=90.00 gamma=120.00
Fractional coordinates of all 5 atoms:
Er (0.000, 0.000, 0.695)
O (0.000, 0.000, 0.381)
O (0.333, 0.667, 0.624)
Tb (0.333, 0.667, 0.303)
Te (0.667, 0.333, 0.997)

The most stable of them is entry w.

Entry w
# ErTmTeO2

An optimized crystal structure of ErTmTeO2 (PBE-GGA, OQMD).

Unit cell a=3.836 b=3.836 c=7.104 alpha=90.00 beta=90.00 gamma=120.00
Fractional coordinates of all 5 atoms:
Er (0.333, 0.667, 0.695)
O (0.333, 0.667, 0.379)
O (0.667, 0.333, 0.619)
Te (0.000, 0.000, 0.001)
Tm (0.667, 0.333, 0.306)

Entry x
# ErTmTeO2

An optimized crystal structure of ErTmTeO2 (PBE-GGA, OQMD).

Unit cell a=6.725 b=6.725 c=6.725 alpha=146.57 beta=146.57 gamma=48.00
Fractional coordinates of all 5 atoms:
Er (0.663, 0.663, 0.000)
O (0.751, 0.251, 0.500)
O (0.251, 0.751, 0.500)
Te (0.000, 0.000, 0.000)
Tm (0.336, 0.336, 0.000)

The most stable of them is entry x.

Entry w
# YErTeO2

An optimized crystal structure of YErTeO2 (PBE-GGA, OQMD).

Unit cell a=3.872 b=3.872 c=7.156 alpha=90.00 beta=90.00 gamma=120.00
Fractional coordinates of all 5 atoms:
Er (0.000, 0.000, 0.306)
O (0.667, 0.333, 0.377)
O (0.000, 0.000, 0.618)
Te (0.333, 0.667, 0.002)
Y (0.667, 0.333, 0.697)

Entry x
# YErTeO2

An optimized crystal structure of YErTeO2 (PBE-GGA, OQMD).

Unit cell a=6.780 b=6.780 c=6.780 alpha=146.56 beta=146.56 gamma=48.02
Fractional coordinates of all 5 atoms:
Er (0.664, 0.664, 0.000)
O (0.749, 0.249, 0.500)
O (0.249, 0.749, 0.500)
Te (0.000, 0.000, 0.000)
Y (0.339, 0.339, 0.000)

The most stable of them is entry x.

Entry w
# Y2Er2O5

An optimized crystal structure of Y2Er2O5 (PBE-GGA, OQMD).

Unit cell a=9.286 b=3.907 c=3.907 alpha=90.00 beta=90.00 gamma=90.00
Site moments in Bohr magnetons follow the coordinates.
Fractional coordinates of all 9 atoms:
Er (0.000, 0.000, 0.000)  0.01
Er (0.500, 0.000, 0.000)  0.62
O (0.143, 0.500, 0.000)  0.01
O (0.857, 0.500, 0.000)  0.01
O (0.143, 0.000, 0.500)  0.02
O (0.857, 0.000, 0.500)  0.02
O (0.500, 0.500, 0.500)  0.03
Y (0.241, 0.500, 0.500)  0.05
Y (0.759, 0.500, 0.500)  0.05

Entry x
# Y2Er2O5

An optimized crystal structure of Y2Er2O5 (PBE-GGA, OQMD).

Unit cell a=9.167 b=3.909 c=3.909 alpha=90.00 beta=90.00 gamma=90.00
Site moments in Bohr magnetons follow the coordinates.
Fractional coordinates of all 9 atoms:
Er (0.244, 0.500, 0.500)  0.09
Er (0.756, 0.500, 0.500)  0.09
O (0.149, 0.500, 0.000)  0.02
O (0.851, 0.500, 0.000)  0.02
O (0.149, 0.000, 0.500)  0.03
O (0.851, 0.000, 0.500)  0.03
O (0.500, 0.500, 0.500)  0.02
Y (0.000, 0.000, 0.000)  0.01
Y (0.500, 0.000, 0.000)  0.63

The most stable of them is entry x.

Entry w
# Er2Zn2O5

An optimized crystal structure of Er2Zn2O5 (PBE-GGA, OQMD).

Unit cell a=8.517 b=3.923 c=3.923 alpha=90.00 beta=90.00 gamma=90.00
Fractional coordinates of all 9 atoms:
Er (0.244, 0.500, 0.500)
Er (0.756, 0.500, 0.500)
O (0.149, 0.500, 0.000)
O (0.851, 0.500, 0.000)
O (0.149, 0.000, 0.500)
O (0.851, 0.000, 0.500)
O (0.500, 0.500, 0.500)
Zn (0.000, 0.000, 0.000)
Zn (0.500, 0.000, 0.000)

Entry x
# Er2Zn2O5

An optimized crystal structure of Er2Zn2O5 (PBE-GGA, OQMD).

Unit cell a=6.969 b=3.882 c=3.882 alpha=90.00 beta=90.00 gamma=90.00
Fractional coordinates of all 9 atoms:
Er (0.000, 0.000, 0.000)
Er (0.500, 0.000, 0.000)
O (0.202, 0.500, 0.000)
O (0.798, 0.500, 0.000)
O (0.202, 0.000, 0.500)
O (0.798, 0.000, 0.500)
O (0.500, 0.500, 0.500)
Zn (0.223, 0.500, 0.500)
Zn (0.777, 0.500, 0.500)

The most stable of them is entry x.

Entry w
# ErOsPd

An optimized crystal structure of ErOsPd (PBE-GGA, OQMD).

Unit cell a=4.484 b=4.484 c=4.484 alpha=60.00 beta=60.00 gamma=60.00
Fractional coordinates of all 3 atoms:
Er (0.000, 0.000, 0.000)
Os (0.250, 0.250, 0.250)
Pd (0.750, 0.750, 0.750)

Entry x
# ErOsPd

An optimized crystal structure of ErOsPd (PBE-GGA, OQMD).

Unit cell a=4.471 b=4.471 c=4.471 alpha=60.00 beta=60.00 gamma=60.00
Site moments in Bohr magnetons follow the coordinates.
Fractional coordinates of all 3 atoms:
Er (0.250, 0.250, 0.250)  -0.05
Os (0.750, 0.750, 0.750)  1.17
Pd (0.000, 0.000, 0.000)  0.26

The most stable of them is entry x.

Entry w
# Er3Sc3Sb2Os

An optimized crystal structure of Er3Sc3Sb2Os (PBE-GGA, OQMD).

Unit cell a=7.961 b=7.961 c=4.028 alpha=90.00 beta=90.00 gamma=120.00
Fractional coordinates of all 9 atoms:
Er (0.756, 0.000, 0.500)
Er (0.244, 0.244, 0.500)
Er (0.000, 0.756, 0.500)
Os (0.000, 0.000, 0.000)
Sb (0.667, 0.333, 0.500)
Sb (0.333, 0.667, 0.500)
Sc (0.390, 0.000, 0.000)
Sc (0.000, 0.390, 0.000)
Sc (0.610, 0.610, 0.000)

Entry x
# Er3Sc3Sb2Os

An optimized crystal structure of Er3Sc3Sb2Os (PBE-GGA, OQMD).

Unit cell a=7.786 b=7.786 c=4.166 alpha=90.00 beta=90.00 gamma=120.00
Fractional coordinates of all 9 atoms:
Er (0.392, 0.000, 0.000)
Er (0.000, 0.392, 0.000)
Er (0.608, 0.608, 0.000)
Os (0.000, 0.000, 0.000)
Sb (0.667, 0.333, 0.500)
Sb (0.333, 0.667, 0.500)
Sc (0.771, 0.000, 0.500)
Sc (0.229, 0.229, 0.500)
Sc (0.000, 0.771, 0.500)

The most stable of them is entry x.

Entry w
# Er3Tm3Sb2Os

An optimized crystal structure of Er3Tm3Sb2Os (PBE-GGA, OQMD).

Unit cell a=8.090 b=8.090 c=4.192 alpha=90.00 beta=90.00 gamma=120.00
Fractional coordinates of all 9 atoms:
Er (0.762, 0.000, 0.500)
Er (0.238, 0.238, 0.500)
Er (0.000, 0.762, 0.500)
Os (0.000, 0.000, 0.000)
Sb (0.667, 0.333, 0.500)
Sb (0.333, 0.667, 0.500)
Tm (0.390, 0.000, 0.000)
Tm (0.000, 0.390, 0.000)
Tm (0.610, 0.610, 0.000)

Entry x
# Er3Tm3Sb2Os

An optimized crystal structure of Er3Tm3Sb2Os (PBE-GGA, OQMD).

Unit cell a=4.193 b=8.085 c=8.085 alpha=120.03 beta=90.00 gamma=90.00
Fractional coordinates of all 9 atoms:
Er (0.000, 0.391, 0.391)
Er (0.000, 0.000, 0.608)
Er (0.000, 0.608, 0.000)
Os (0.000, 0.001, 0.001)
Sb (0.500, 0.666, 0.333)
Sb (0.500, 0.333, 0.666)
Tm (0.500, 0.236, 0.000)
Tm (0.500, 0.000, 0.236)
Tm (0.500, 0.765, 0.765)

The most stable of them is entry x.